LiPm2Co2O6 GGA+U relaxed; raw total energy = -71.031 eV per cell; magnetic moment = 7.000 μB/f.u.; symmetry = R-3m, No. 166; D(E_F) = 4.04 states/eV per cell
1.0
2.866 1.655 5.298
-2.866 1.655 5.298
0.000 -3.309 5.298
Li Pm Co O
1 2 2 6
direct
0.000 0.000 0.000
0.200 0.200 0.200
0.800 0.800 0.800
0.412 0.412 0.412
0.588 0.588 0.588
0.216 0.753 0.753
0.247 0.247 0.784
0.247 0.784 0.247
0.753 0.216 0.753
0.753 0.753 0.216
0.784 0.247 0.247